## KFeP2O (GGA+U)

Data for a geometry-optimized KFeP2O structure.

Results
Raw total energy   -2.05 eV per atom
Crystal system   tetragonal
DOS at the Fermi energy   1.057 states/eV per atom
M_tot   0.79 Bohr magnetons per cell

a = 5.1563 Å, b = 5.1563 Å, c = 4.3281 Å
α = 90.00°, β = 90.00°, γ = 90.00°
Fractional coordinates of all 5 atoms:
K1 0.0000 0.0000 0.0000
Fe1 0.5000 0.5000 0.5000
P1 0.0000 0.5000 0.0000
P2 0.5000 0.0000 0.0000
O1 0.0000 0.0000 0.5000